No. 1
5
Lattice="4.8761 0.0000 0.0000 0.0000 4.8761 0.0000 0.0000 0.0000 4.8761" Properties=species:S:1:pos:R:3 comment="CaAl3P (PBE, optimized geometry)" final_energy_ev_per_cell=-17.7 delta_e_f_ev_per_atom=0.1801 e_above_lowest_polymorph_mev_per_atom=0 dos_ef_per_ev_atom=0.452 pbc="T T T"
Ca 0.0000 0.0000 0.0000
Al 0.0000 2.4381 2.4381
Al 2.4381 0.0000 2.4381
Al 2.4381 2.4381 0.0000
P 2.4381 2.4381 2.4381

***

No. 2
18
Lattice="2.9706 -5.2904 0.0000 2.9706 5.2904 0.0000 -0.0009 0.0000 6.3943" Properties=species:S:1:pos:R:3 comment="K2H6Ru (PBE, optimized geometry)" final_energy_ev_per_cell=-65.7 pbc="T T T"
K 2.9720 3.5959 0.0007
K 2.9687 3.5959 3.1965
K 2.9683 -3.5959 6.3937
K 2.9715 -3.5959 3.1978
H 1.9681 1.7080 1.5958
H 1.4072 0.2289 4.7986
H 1.4077 -0.2289 1.6014
H 2.9638 0.8607 3.4652
H 2.9760 0.8607 6.1262
H 1.9676 -1.7080 4.7930
H 3.9727 1.7080 1.6013
H 2.9643 -0.8607 0.2681
H 2.9764 -0.8607 2.9291
H 4.5326 0.2289 4.7929
H 4.5330 -0.2289 1.5957
H 3.9722 -1.7080 4.7985
Ru 2.9704 0.3564 1.5986
Ru 2.9699 -0.3564 4.7957

***

No. 3
20
Lattice="9.8520 0.0000 0.0000 0.0000 6.1125 0.0000 -3.0781 0.0000 8.9050" Properties=species:S:1:pos:R:3 comment="PdCl3O (PBE, optimized geometry)" final_energy_ev_per_cell=-67.9 e_above_lowest_polymorph_mev_per_atom=0 dos_ef_per_ev_atom=0.713 e_form_raw_ev_per_atom=-0.26 pbc="T T T"
Pd 0.2510 1.4452 0.9226
Pd -1.2881 1.6110 5.3751
Pd 8.0620 4.5015 3.5299
Pd 6.5229 4.6673 7.9824
Cl -0.5504 0.4068 3.1725
Cl -2.0895 2.6495 7.6250
Cl -0.0173 3.5175 4.7958
Cl 1.5217 5.6513 0.3433
Cl 0.5356 0.7832 6.4826
Cl 2.0746 2.2731 2.0301
Cl 4.6992 3.8395 6.8748
Cl 6.2383 5.3293 2.4224
Cl 5.2522 0.4612 8.5616
Cl 6.7912 2.5950 4.1091
Cl 8.8633 3.4630 1.2800
Cl 7.3243 5.7057 5.7325
O 1.7908 3.5526 8.5510
O 3.3299 5.6162 4.0985
O 3.4440 0.4963 4.8064
O 4.9831 2.5599 0.3540

***

No. 4
5
Lattice="5.9325 0.0000 0.0000 0.0000 5.9325 0.0000 0.0000 0.0000 5.9325" Properties=species:S:1:pos:R:3 comment="KZrI3 (PBE, optimized geometry)" final_energy_ev_per_cell=-18.2 e_above_lowest_polymorph_mev_per_atom=0 dos_ef_per_ev_atom=1.275 e_form_raw_ev_per_atom=-0.79 pbc="T T T"
K 0.0000 0.0000 0.0000
Zr 2.9662 2.9662 2.9662
I 0.0000 2.9662 2.9662
I 2.9662 0.0000 2.9662
I 2.9662 2.9662 0.0000

***

No. 5
4
Lattice="-1.5867 1.7947 3.9267 1.5867 -1.7947 3.9267 1.5867 1.7947 -3.9267" Properties=species:S:1:pos:R:3 comment="Cr2CoSi (PBE, optimized geometry)" final_energy_ev_per_cell=-32.9 dos_ef_per_ev_atom=0.694 e_form_raw_ev_per_atom=-0.27 pbc="T T T"
Cr 0.0000 0.0000 1.9581
Cr 0.0000 0.0000 5.8954
Co 0.0000 1.7947 0.0000
Si 1.5867 0.0000 0.0000

***

No. 6
9
Lattice="5.3146 0.0000 0.0000 0.0000 5.3146 0.0000 0.0000 0.0000 10.9255" Properties=species:S:1:pos:R:3 comment="RbTlAg2Br5 (PBE, optimized geometry)" final_energy_ev_per_cell=-24.1 dos_ef_per_ev_atom=0.294 e_form_raw_ev_per_atom=-0.74 pbc="T T T"
Rb 0.0000 0.0000 0.0000
Tl 0.0000 0.0000 5.4627
Ag 2.6573 2.6573 2.8348
Ag 2.6573 2.6573 8.0907
Br 0.0000 2.6573 3.2376
Br 0.0000 2.6573 7.6879
Br 2.6573 0.0000 3.2376
Br 2.6573 0.0000 7.6879
Br 2.6573 2.6573 0.0000

***

No. 7
18
Lattice="10.0171 0.0000 0.0000 0.0000 10.0171 0.0000 0.0000 0.0000 6.1673" Properties=species:S:1:pos:R:3 comment="CaTb4Sn4 (PBE, optimized geometry)" final_energy_ev_per_cell=-81.8 delta_e_f_ev_per_atom=-0.4847 dos_ef_per_ev_atom=0.527 pbc="T T T"
Ca 2.5043 2.5043 1.5418
Ca 7.5128 7.5128 4.6255
Tb 1.0544 6.4162 0.8611
Tb 1.4076 8.9627 3.9447
Tb 3.6009 6.0630 3.9447
Tb 3.9542 8.6095 0.8611
Tb 6.0630 1.4076 5.3062
Tb 6.4162 3.9542 2.2226
Tb 8.6095 1.0544 2.2226
Tb 8.9627 3.6009 5.3062
Sn 0.4399 6.0429 4.0231
Sn 1.0344 9.5772 0.9395
Sn 3.9742 5.4485 0.9395
Sn 4.5686 8.9827 4.0231
Sn 5.4485 1.0344 2.1442
Sn 6.0429 4.5686 5.2278
Sn 8.9827 0.4399 5.2278
Sn 9.5772 3.9742 2.1442

***

No. 8
12
Lattice="7.3278 0.0000 0.0000 0.1470 7.7694 0.0000 0.0084 0.0022 9.7063" Properties=species:S:1:pos:R:3 comment="KTmPb2I8 (PBE, optimized geometry)" final_energy_ev_per_cell=-37.2 dos_ef_per_ev_atom=0.000 e_form_raw_ev_per_atom=-0.98 pbc="T T T"
K 0.0000 0.0000 0.0000
Tm 0.0042 0.0011 4.8531
Pb 3.7392 3.8862 2.4423
Pb 3.7441 3.8854 7.2640
I 1.7560 2.5104 4.8550
I 1.9046 6.5856 6.9772
I 1.9051 6.5894 2.7266
I 2.0124 2.8221 0.0019
I 5.4708 4.9495 9.7044
I 5.5782 1.1823 6.9797
I 5.5786 1.1861 2.7290
I 5.7273 5.2613 4.8513

***

No. 9
12
Lattice="9.3412 -2.0489 0.0000 9.3412 2.0489 0.0000 -2.5769 0.0000 8.2332" Properties=species:S:1:pos:R:3 comment="Th6Os3SeS2 (PBE, optimized geometry)" final_energy_ev_per_cell=-102.4 dos_ef_per_ev_atom=0.363 e_form_raw_ev_per_atom=-1.04 pbc="T T T"
Th -0.4811 0.0000 1.8812
Th 4.9482 0.0000 3.5688
Th 3.9997 0.0000 7.4263
Th 12.1057 0.0000 0.8069
Th 11.1572 0.0000 4.6644
Th 16.5865 0.0000 6.3520
Os 2.2581 0.0000 2.7208
Os 9.3412 0.0000 0.0000
Os 13.8473 0.0000 5.5124
Se 8.0527 0.0000 4.1166
S 0.9736 0.0000 6.8552
S 15.1318 0.0000 1.3780

***

No. 10
80
Lattice="-6.5276 6.5276 6.5276 6.5276 -6.5276 6.5276 6.5276 6.5276 -6.5276" Properties=species:S:1:pos:R:3 comment="Pm5Sc3H12 (PBE, optimized geometry)" final_energy_ev_per_cell=-362.6 dos_ef_per_ev_atom=0.561 pbc="T T T"
Pm 0.0000 0.0000 0.0000
Pm 3.2638 3.2638 -3.2638
Pm 3.2638 -3.2638 3.2638
Pm 6.5276 0.0000 0.0000
Pm 9.7914 1.6319 0.0000
Pm 6.5276 -3.2638 4.8957
Pm 4.8957 6.5276 -3.2638
Pm 4.8957 0.0000 3.2638
Pm 3.2638 4.8957 0.0000
Pm 6.5276 3.2638 1.6319
Pm -3.2638 3.2638 3.2638
Pm 0.0000 6.5276 0.0000
Pm 0.0000 0.0000 6.5276
Pm 3.2638 3.2638 3.2638
Pm 0.0000 3.2638 4.8957
Pm 3.2638 1.6319 6.5276
Pm 1.6319 6.5276 3.2638
Pm 1.6319 0.0000 9.7914
Pm 0.0000 9.7914 1.6319
Pm -3.2638 4.8957 6.5276
Sc 3.2638 1.6319 0.0000
Sc 6.5276 3.2638 -1.6319
Sc 1.6319 0.0000 3.2638
Sc 8.1595 0.0000 3.2638
Sc 0.0000 3.2638 1.6319
Sc 3.2638 -1.6319 6.5276
Sc 3.2638 8.1595 0.0000
Sc 6.5276 3.2638 4.8957
Sc -1.6319 6.5276 3.2638
Sc 4.8957 6.5276 3.2638
Sc 0.0000 3.2638 8.1595
Sc 3.2638 4.8957 6.5276
H 8.6478 -0.1092 0.8317
H 7.6711 -2.4321 3.1546
H 2.1203 0.1092 0.8317
H 7.6711 4.0955 -3.1546
H 6.6368 -0.8317 2.1203
H 9.6821 -1.1435 2.4321
H 4.0955 3.1546 -1.1435
H 5.6959 2.1203 -0.1092
H 0.8317 2.1203 0.1092
H 8.9596 3.3730 -1.1435
H 0.1092 0.8317 2.1203
H 3.1546 -1.1435 4.0955
H 6.6368 5.6959 -2.1203
H 3.1546 1.1435 2.4321
H 2.4321 3.1546 1.1435
H 7.3593 4.4073 -0.1092
H 4.0955 -3.1546 7.6711
H 5.6959 -2.1203 6.6368
H 3.1546 7.6711 -2.4321
H 6.6368 0.8317 4.4073
H 1.1435 2.4321 3.1546
H 2.1203 -0.1092 5.6959
H 2.1203 6.6368 -0.8317
H 7.6711 2.4321 3.3730
H -1.1435 4.0955 3.1546
H 4.4073 -0.1092 7.3593
H 4.4073 6.6368 0.8317
H 5.3841 4.0955 3.3730
H -0.1092 5.6959 2.1203
H 3.3730 -1.1435 8.9596
H 0.8317 8.6478 -0.1092
H 2.4321 9.6821 -1.1435
H -0.8317 2.1203 6.6368
H 4.0955 3.3730 5.3841
H 3.3730 5.3841 4.0955
H -0.1092 0.8317 8.6478
H 3.3730 7.6711 2.4321
H 6.4183 5.6959 4.4073
H -2.4321 3.1546 7.6711
H 5.6959 4.4073 6.4183
H 0.8317 4.4073 6.6368
H 2.4321 3.3730 7.6711
H -3.1546 7.6711 4.0955
H -0.1092 7.3593 4.4073
H -1.1435 2.4321 9.6821
H 4.4073 6.4183 5.6959
H -1.1435 8.9596 3.3730
H -2.1203 6.6368 5.6959

***

No. 11
4
Lattice="3.2583 0.0000 0.0000 0.6333 4.5114 0.0000 0.0010 1.5386 7.0393" Properties=species:S:1:pos:R:3 comment="MoBr (PBE, optimized geometry)" final_energy_ev_per_cell=-23.9 e_above_lowest_polymorph_mev_per_atom=361 dos_ef_per_ev_atom=0.495 e_form_raw_ev_per_atom=0.29 pbc="T T T"
Mo 0.7680 1.9320 3.3646
Mo 3.1246 4.1179 3.6747
Br 1.4348 4.9576 5.4922
Br 2.4578 1.0924 1.5471

***

No. 12
80
Lattice="-6.5929 6.5929 6.5929 6.5929 -6.5929 6.5929 6.5929 6.5929 -6.5929" Properties=species:S:1:pos:R:3 comment="Eu3Ag5O12 (PBE, optimized geometry)" final_energy_ev_per_cell=-488.2 dos_ef_per_ev_atom=0.947 e_form_raw_ev_per_atom=-0.87 pbc="T T T"
Eu 3.2964 1.6482 0.0000
Eu 6.5929 3.2964 -1.6482
Eu 1.6482 0.0000 3.2964
Eu 8.2411 0.0000 3.2964
Eu 0.0000 3.2964 1.6482
Eu 3.2964 -1.6482 6.5929
Eu 3.2964 8.2411 0.0000
Eu 6.5929 3.2964 4.9447
Eu -1.6482 6.5929 3.2964
Eu 4.9447 6.5929 3.2964
Eu 0.0000 3.2964 8.2411
Eu 3.2964 4.9447 6.5929
Ag 0.0000 0.0000 0.0000
Ag 3.2964 3.2964 -3.2964
Ag 3.2964 -3.2964 3.2964
Ag 6.5929 0.0000 0.0000
Ag 9.8893 1.6482 0.0000
Ag 6.5929 -3.2964 4.9447
Ag 4.9447 6.5929 -3.2964
Ag 4.9447 0.0000 3.2964
Ag 3.2964 4.9447 0.0000
Ag 6.5929 3.2964 1.6482
Ag -3.2964 3.2964 3.2964
Ag 0.0000 6.5929 0.0000
Ag 0.0000 0.0000 6.5929
Ag 3.2964 3.2964 3.2964
Ag 0.0000 3.2964 4.9447
Ag 3.2964 1.6482 6.5929
Ag 1.6482 6.5929 3.2964
Ag 1.6482 0.0000 9.8893
Ag 0.0000 9.8893 1.6482
Ag -3.2964 4.9447 6.5929
O 1.9402 -0.2296 0.8084
O 7.9491 4.1049 -3.5260
O 8.5331 0.2296 0.8084
O 7.9491 -2.4880 3.5260
O 6.3633 -0.8084 1.9402
O 10.1189 -1.3562 2.4880
O 0.8084 1.9402 -0.2296
O 9.0809 3.0669 -1.3562
O 4.1049 3.5260 -1.3562
O 5.7844 1.9402 0.2296
O -0.2296 0.8084 1.9402
O 3.5260 -1.3562 4.1049
O 6.3633 5.7844 -1.9402
O 3.5260 1.3562 2.4880
O 4.1049 -3.5260 7.9491
O 5.7844 -1.9402 6.3633
O 2.4880 3.5260 1.3562
O 7.4013 4.6527 0.2296
O 3.5260 7.9491 -2.4880
O 6.3633 0.8084 4.6527
O 1.9402 6.3633 -0.8084
O 7.9491 2.4880 3.0669
O 1.3562 2.4880 3.5260
O 1.9402 0.2296 5.7844
O 4.6527 6.3633 0.8084
O 5.2366 4.1049 3.0669
O -1.3562 4.1049 3.5260
O 4.6527 0.2296 7.4013
O 0.2296 5.7844 1.9402
O 3.0669 -1.3562 9.0809
O -0.8084 1.9402 6.3633
O 4.1049 3.0669 5.2366
O 0.8084 8.5331 0.2296
O 2.4880 10.1189 -1.3562
O 3.0669 5.2366 4.1049
O 0.2296 0.8084 8.5331
O 3.0669 7.9491 2.4880
O 6.8225 5.7844 4.6527
O 0.8084 4.6527 6.3633
O 2.4880 3.0669 7.9491
O -2.4880 3.5260 7.9491
O 5.7844 4.6527 6.8225
O -3.5260 7.9491 4.1049
O 0.2296 7.4013 4.6527
O -1.3562 9.0809 3.0669
O -1.9402 6.3633 5.7844
O -1.3562 2.4880 10.1189
O 4.6527 6.8225 5.7844

***

No. 13
10
Lattice="7.9384 0.0000 0.0000 0.0000 7.9384 0.0000 0.0000 0.0000 2.7017" Properties=species:S:1:pos:R:3 comment="KCu2Pt2 (PBE, optimized geometry)" final_energy_ev_per_cell=-42.6 delta_e_f_ev_per_atom=0.0094 e_above_lowest_polymorph_mev_per_atom=0 dos_ef_per_ev_atom=0.544 pbc="T T T"
K 0.0000 0.0000 0.0000
K 3.9692 3.9692 0.0000
Cu 0.9909 2.9783 0.0000
Cu 2.9783 6.9475 0.0000
Cu 4.9601 0.9909 0.0000
Cu 6.9475 4.9601 0.0000
Pt 1.3228 5.2920 1.3508
Pt 2.6464 1.3228 1.3508
Pt 5.2920 6.6156 1.3508
Pt 6.6156 2.6464 1.3508

***

No. 14
10
Lattice="3.7968 0.0000 0.0000 0.0000 3.7968 0.0000 0.0000 0.0000 11.0402" Properties=species:S:1:pos:R:3 comment="Er2Ga3Ni4Rh (PBE, optimized geometry)" final_energy_ev_per_cell=-54.2 delta_e_f_ev_per_atom=-0.5490 dos_ef_per_ev_atom=0.651 pbc="T T T"
Er 0.0000 1.8984 2.6305
Er 1.8984 0.0000 8.4097
Ga 0.0000 0.0000 0.0000
Ga 0.0000 1.8984 6.9772
Ga 1.8984 0.0000 4.0630
Ni 0.0000 0.0000 5.5201
Ni 0.0000 1.8984 9.3502
Ni 1.8984 0.0000 1.6900
Ni 1.8984 1.8984 5.5201
Rh 1.8984 1.8984 0.0000

***

No. 15
5
Lattice="4.8310 0.0000 0.0000 0.0000 4.8310 0.0000 0.0000 0.0000 4.8310" Properties=species:S:1:pos:R:3 comment="Hf3SiAu (PBE, optimized geometry)" final_energy_ev_per_cell=-37.7 e_above_lowest_polymorph_mev_per_atom=0 dos_ef_per_ev_atom=0.564 e_form_raw_ev_per_atom=0.17 pbc="T T T"
Hf 0.0000 0.0000 2.4155
Hf 0.0000 2.4155 0.0000
Hf 2.4155 0.0000 0.0000
Si 0.0000 0.0000 0.0000
Au 2.4155 2.4155 2.4155